Entry from Alexandria: a relaxed Zr2OsBr crystal (PBEsol).

Values from the calculation:
**Energy above the most stable polymorph in this dataset**: 508.4 meV per atom

Cell: 4.712 4.712 4.712 Å, 60.00 60.00 60.00°
Positions (direct):
Os 0.500 0.500 0.500
Zr 0.250 0.250 0.250
Zr 0.750 0.750 0.750
Br 0.000 0.000 0.000

Entry from Alexandria: a relaxed LiVSO4F3 crystal (PBEsol).

Values from the calculation:
**Calculated total energy**: -6.40 eV per atom

Cell: 7.200 7.195 9.955 Å, 90.00 90.00 90.00°
Positions (direct):
F 0.987 0.392 0.336
Li 0.625 0.884 0.277
Li 0.875 0.384 0.777
O 0.886 0.193 0.123
Li 0.125 0.616 0.277
F 0.013 0.608 0.836
O 0.273 0.774 0.405
O 0.386 0.307 0.123
O 0.136 0.514 0.069
F 0.023 0.218 0.667
S 0.707 0.607 0.513
V 0.988 0.265 0.489
F 0.487 0.108 0.336
S 0.293 0.393 0.013
O 0.773 0.726 0.405
O 0.114 0.807 0.623
O 0.727 0.226 0.905
F 0.513 0.892 0.836
O 0.364 0.014 0.569
F 0.977 0.782 0.167
O 0.572 0.468 0.443
F 0.249 0.345 0.487
V 0.012 0.735 0.989
F 0.749 0.155 0.487
F 0.251 0.845 0.987
F 0.477 0.718 0.167
O 0.636 0.986 0.069
O 0.227 0.274 0.905
O 0.072 0.032 0.443
S 0.793 0.107 0.013
V 0.488 0.235 0.489
F 0.751 0.655 0.987
F 0.523 0.282 0.667
V 0.512 0.765 0.989
O 0.928 0.968 0.943
Li 0.375 0.116 0.777
O 0.864 0.486 0.569
O 0.428 0.532 0.943
O 0.614 0.693 0.623
S 0.207 0.893 0.513

Entry from Alexandria: a relaxed BaMnSb3 crystal (PBEsol).

Values from the calculation:
**Energy above the most stable polymorph in this dataset**: 0.0 meV per atom

Cell: 5.206 5.206 5.206 Å, 90.00 90.00 90.00°
Positions (direct):
Sb 0.000 0.500 0.000
Mn 0.000 0.000 0.000
Ba 0.500 0.500 0.500
Sb 0.500 0.000 0.000
Sb 0.000 0.000 0.500

Entry from Alexandria: a relaxed BaCaHg2 crystal (PBEsol).

Values from the calculation:
**Calculated formation energy**: -0.41 eV/atom

Cell: 4.153 4.153 7.547 Å, 90.00 90.00 90.00°
Positions (direct):
Ba 0.000 0.000 0.447
Hg 0.000 0.000 0.985
Ca 0.500 0.500 0.834
Hg 0.500 0.500 0.233

Entry from Alexandria: a relaxed Na2MgInF7 crystal (PBEsol).

Values from the calculation:
**Calculated total energy**: -4.83 eV per atom

Cell: 7.325 7.484 10.259 Å, 90.00 90.00 90.00°
Positions (direct):
Mg 0.000 0.000 0.500
F 0.494 0.203 0.625
F 0.750 0.009 0.845
Na 0.750 0.743 0.232
F 0.447 0.818 0.634
F 0.750 0.491 0.345
Na 0.250 0.257 0.768
Na 0.500 0.500 0.500
Na 0.000 0.000 0.000
In 0.250 0.769 0.273
Na 0.750 0.757 0.732
F 0.750 0.482 0.637
F 0.553 0.318 0.866
F 0.506 0.797 0.375
F 0.250 0.991 0.155
Na 0.250 0.243 0.268
Mg 0.000 0.500 0.000
F 0.994 0.797 0.375
F 0.006 0.297 0.125
F 0.553 0.182 0.366
F 0.250 0.509 0.655
F 0.053 0.818 0.634
F 0.506 0.703 0.875
F 0.006 0.203 0.625
In 0.750 0.231 0.727
F 0.947 0.182 0.366
F 0.250 0.982 0.863
F 0.250 0.518 0.363
In 0.250 0.731 0.773
F 0.053 0.682 0.134
F 0.994 0.703 0.875
F 0.750 0.514 0.066
F 0.494 0.297 0.125
Mg 0.500 0.500 0.000
In 0.750 0.269 0.227
F 0.250 0.486 0.934
Na 0.000 0.500 0.500
F 0.447 0.682 0.134
F 0.250 0.014 0.434
Na 0.500 0.000 0.000
F 0.750 0.986 0.566
Mg 0.500 0.000 0.500
F 0.947 0.318 0.866
F 0.750 0.018 0.137

Entry from Alexandria: a relaxed ScRuN3 crystal (PBEsol).

Values from the calculation:
**Calculated total energy**: -6.92 eV per atom

Cell: 3.980 3.980 3.980 Å, 90.00 90.00 90.00°
Positions (direct):
N 0.500 0.000 0.000
N 0.000 0.500 0.000
N 0.000 0.000 0.500
Ru 0.500 0.500 0.500
Sc 0.000 0.000 0.000

Entry from Alexandria: a relaxed BaMnBe crystal (PBEsol).

Values from the calculation:
**Calculated formation energy**: 0.67 eV/atom

Cell: 3.327 3.327 6.110 Å, 105.80 105.80 90.00°
Positions (direct):
Be 0.726 0.726 0.452
Mn 0.271 0.271 0.542
Ba 0.003 0.003 0.007

Entry from Alexandria: a relaxed ZrRhSe2F crystal (PBEsol).

Values from the calculation:
**Calculated total energy**: -6.13 eV per atom

Cell: 3.957 5.098 5.098 Å, 90.00 90.00 90.00°
Positions (direct):
Se 0.000 0.500 0.000
Rh 0.500 0.500 0.500
Zr 0.000 0.000 0.000
Se 0.000 0.000 0.500
F 0.500 0.000 0.000

Entry from Alexandria: a relaxed PbCl4 crystal (PBEsol).

Values from the calculation:
**Calculated total energy**: -2.96 eV per atom

Cell: 5.387 6.616 9.939 Å, 76.08 74.27 65.97°
Positions (direct):
Pb 0.261 0.750 0.250
Pb 0.739 0.250 0.750
Cl 0.125 0.925 0.813
Cl 0.383 0.814 0.447
Cl 0.643 0.686 0.053
Cl 0.617 0.186 0.553
Cl 0.357 0.314 0.947
Cl 0.875 0.075 0.187
Cl 0.138 0.425 0.313
Cl 0.862 0.575 0.687

no.,D(E_F) (states/eV/f.u.),magnetic moment (Bohr magnetons per cell)
1,3.833,0.00
2,4.335,4.00
3,3.979,3.52
4,2.142,0.00
5,0.000,0.02
6,6.351,0.50
7,3.183,3.15
8,4.385,0.12
9,0.000,0.00